1.
Here is an optimized crystal structure of Cu4TcAg from Alexandria. Energies are from PBE.

```
6
Lattice="0.0000 3.4343 3.4343 3.4343 0.0000 3.4343 3.4343 3.4343 0.0000" Properties=species:S:1:pos:R:3 pbc="T T T"
Cu 0.8567 0.8567 0.8567
Cu 2.5776 2.5776 0.8567
Cu 2.5776 0.8567 2.5776
Cu 0.8567 2.5776 2.5776
Tc 5.1514 5.1514 5.1514
Ag 3.4343 3.4343 3.4343
```

Output
The total magnetic moment is 2.2 μB/f.u. The space group is No. 216. The value obtained for the formation energy is 315 meV per atom. The theoretical density comes out at 9.43 g/cm3. The density of states at the Fermi level comes out at 3.89 states/eV/f.u.

---

2.
Here is an optimized crystal structure of Cu2TcAg from Alexandria. Energies are from PBE.

```
4
Lattice="2.6246 0.0000 0.0000 0.0000 4.6140 0.0000 0.0000 0.0000 4.8221" Properties=species:S:1:pos:R:3 pbc="T T T"
Cu 0.0000 0.0000 0.0000
Cu 1.3123 0.0000 2.4110
Tc 0.0000 2.3070 2.4110
Ag 1.3123 2.3070 0.0000
```

Output
The total magnetic moment is 0.6 μB/f.u. The space group is No. 47. The value obtained for the formation energy is 479 meV per atom. The theoretical density comes out at 9.47 g/cm3. The density of states at the Fermi level comes out at 1.85 states/eV/f.u. The value obtained for the energy above the most stable polymorph in this dataset is 261 meV per atom.

---

3.
Here is an optimized crystal structure of CuTcAg2 from Alexandria. Energies are from PBE.

```
12
Lattice="2.7863 0.0000 0.0000 -1.3931 2.4130 0.0000 0.0000 0.0000 27.8247" Properties=species:S:1:pos:R:3 pbc="T T T"
Cu 0.0000 0.0000 0.0000
Cu 0.0000 1.6087 18.5498
Cu 1.3932 0.8043 9.2749
Tc 0.0000 0.0000 13.9123
Tc 0.0000 1.6087 4.6375
Tc 1.3932 0.8043 23.1872
Ag 0.0000 0.0000 7.0417
Ag 0.0000 0.0000 20.7830
Ag 0.0000 1.6087 11.5081
Ag 0.0000 1.6087 25.5915
Ag 1.3932 0.8043 2.2332
Ag 1.3932 0.8043 16.3166
```

Output
The total magnetic moment is 0.5 μB/f.u. The space group is No. 166. The value obtained for the formation energy is 403 meV per atom. The theoretical density comes out at 10.05 g/cm3. The density of states at the Fermi level comes out at 4.03 states/eV/f.u. The value obtained for the energy above the most stable polymorph in this dataset is 108 meV per atom.

---

4.
Here is an optimized crystal structure of CuTcAg2 from Alexandria. Energies are from PBE.

```
8
Lattice="4.3034 0.0000 0.0000 0.0000 4.3034 0.0000 0.0000 0.0000 6.9144" Properties=species:S:1:pos:R:3 pbc="T T T"
Cu 0.0000 0.0000 0.0000
Cu 2.1517 2.1517 3.4572
Tc 0.0000 2.1517 5.1858
Tc 2.1517 0.0000 1.7286
Ag 0.0000 0.0000 3.4572
Ag 0.0000 2.1517 1.7286
Ag 2.1517 0.0000 5.1858
Ag 2.1517 2.1517 0.0000
```

Output
The total magnetic moment is 2.3 μB/f.u. The space group is No. 119. The value obtained for the formation energy is 592 meV per atom. The theoretical density comes out at 9.79 g/cm3. The density of states at the Fermi level comes out at 2.84 states/eV/f.u. The value obtained for the energy above the most stable polymorph in this dataset is 297 meV per atom.

---

> Which of these has the highest total magnetic moment?

number 4